No. 1
A relaxed structure of HoTm2. Source: the Alexandria database, functional PBE.

Lattice parameters (Å, degrees): 6.4684 6.4684 6.4684 60.00 60.00 60.00
Fractional coordinates of all 6 atoms:
1 Ho 0.1250 0.1250 0.1250
2 Ho 0.8750 0.8750 0.8750
3 Tm 0.0000 0.5000 0.5000
4 Tm 0.5000 0.0000 0.5000
5 Tm 0.5000 0.5000 0.0000
6 Tm 0.5000 0.5000 0.5000

Properties
energy above the most stable polymorph in this dataset	275.4	meV/atom
V	31.89	Å³ per atom
DOS at the Fermi energy	5.475	states/eV/f.u.
E_form	0.27	eV per atom
size of the total moment	0.37	μB/f.u.



No. 2
A relaxed structure of Ho4Tm. Source: the Alexandria database, functional PBE.

Lattice parameters (Å, degrees): 5.6036 5.6036 5.6036 90.00 90.00 90.00
Fractional coordinates of all 5 atoms:
1 Ho 0.0000 0.0000 0.0000
2 Ho 0.0000 0.5000 0.5000
3 Ho 0.5000 0.0000 0.5000
4 Ho 0.5000 0.5000 0.0000
5 Tm 0.5000 0.5000 0.5000

Properties
energy above the most stable polymorph in this dataset	711.5	meV/atom
V	35.19	Å³ per atom
DOS at the Fermi energy	6.575	states/eV/f.u.
E_form	0.73	eV per atom
size of the total moment	0.00	μB/f.u.



No. 3
A relaxed structure of HoTm7. Source: the Alexandria database, functional PBE.

Lattice parameters (Å, degrees): 6.9692 6.9692 6.9692 60.00 60.00 60.00
Fractional coordinates of all 8 atoms:
1 Ho 0.0000 0.0000 0.0000
2 Tm 0.0000 0.0000 0.5000
3 Tm 0.0000 0.5000 0.0000
4 Tm 0.0000 0.5000 0.5000
5 Tm 0.5000 0.0000 0.0000
6 Tm 0.5000 0.0000 0.5000
7 Tm 0.5000 0.5000 0.0000
8 Tm 0.5000 0.5000 0.5000

Properties
energy above the most stable polymorph in this dataset	0.0	meV/atom
V	29.92	Å³ per atom
DOS at the Fermi energy	14.168	states/eV/f.u.
E_form	0.03	eV per atom
size of the total moment	0.00	μB/f.u.



No. 4
A relaxed structure of HoTm2. Source: the Alexandria database, functional PBE.

Lattice parameters (Å, degrees): 3.4866 3.4866 14.8745 90.00 90.00 90.00
Fractional coordinates of all 6 atoms:
1 Ho 0.0000 0.0000 0.0000
2 Ho 0.5000 0.5000 0.5000
3 Tm 0.0000 0.0000 0.3330
4 Tm 0.0000 0.0000 0.6670
5 Tm 0.5000 0.5000 0.1670
6 Tm 0.5000 0.5000 0.8330

Properties
energy above the most stable polymorph in this dataset	28.5	meV/atom
V	30.14	Å³ per atom
DOS at the Fermi energy	3.972	states/eV/f.u.
E_form	0.03	eV per atom
size of the total moment	0.00	μB/f.u.



No. 5
A relaxed structure of HoTm2. Source: the Alexandria database, functional PBE.

Lattice parameters (Å, degrees): 5.7748 10.9573 5.7940 90.00 90.00 90.00
Fractional coordinates of all 12 atoms:
1 Ho 0.0000 0.0849 0.2500
2 Ho 0.0000 0.9151 0.7500
3 Ho 0.5000 0.4151 0.7500
4 Ho 0.5000 0.5849 0.2500
5 Tm 0.0000 0.2503 0.7500
6 Tm 0.0000 0.4159 0.2500
7 Tm 0.0000 0.5841 0.7500
8 Tm 0.0000 0.7497 0.2500
9 Tm 0.5000 0.0841 0.7500
10 Tm 0.5000 0.2497 0.2500
11 Tm 0.5000 0.7503 0.7500
12 Tm 0.5000 0.9159 0.2500

Properties
energy above the most stable polymorph in this dataset	135.2	meV/atom
V	30.55	Å³ per atom
DOS at the Fermi energy	6.825	states/eV/f.u.
E_form	0.13	eV per atom
size of the total moment	0.00	μB/f.u.



No. 6
A relaxed structure of Ho5Tm3. Source: the Alexandria database, functional PBE.

Lattice parameters (Å, degrees): 3.5827 5.5473 12.4080 90.00 90.00 90.00
Fractional coordinates of all 8 atoms:
1 Ho 0.0000 0.0000 0.0000
2 Ho 0.0000 0.0000 0.4969
3 Ho 0.0000 0.5000 0.8320
4 Ho 0.5000 0.0000 0.7487
5 Ho 0.5000 0.5000 0.5800
6 Tm 0.0000 0.5000 0.3301
7 Tm 0.5000 0.0000 0.2479
8 Tm 0.5000 0.5000 0.0824

Properties
V	30.82	Å³ per atom
DOS at the Fermi energy	12.682	states/eV/f.u.
E_form	0.00	eV per atom
size of the total moment	0.00	μB/f.u.



No. 7
A relaxed structure of Ho7Tm5. Source: the Alexandria database, functional PBE.

Lattice parameters (Å, degrees): 5.5230 5.5230 14.5139 100.99 100.99 60.11
Fractional coordinates of all 12 atoms:
1 Ho 0.0000 0.0000 0.0000
2 Ho 0.1923 0.1923 0.5781
3 Ho 0.2749 0.2749 0.8269
4 Ho 0.4299 0.4299 0.2870
5 Ho 0.5701 0.5701 0.7130
6 Ho 0.7251 0.7251 0.1731
7 Ho 0.8077 0.8077 0.4219
8 Tm 0.1035 0.1035 0.3083
9 Tm 0.3535 0.3535 0.0590
10 Tm 0.5000 0.5000 0.5000
11 Tm 0.6465 0.6465 0.9410
12 Tm 0.8965 0.8965 0.6917

Properties
energy above the most stable polymorph in this dataset	191.3	meV/atom
V	31.20	Å³ per atom
DOS at the Fermi energy	19.192	states/eV/f.u.
E_form	0.20	eV per atom
size of the total moment	0.00	μB/f.u.



No. 8
A relaxed structure of HoTm3. Source: the Alexandria database, functional PBE.

Lattice parameters (Å, degrees): 4.9363 4.9363 4.9363 90.00 90.00 90.00
Fractional coordinates of all 4 atoms:
1 Ho 0.0000 0.0000 0.0000
2 Tm 0.0000 0.5000 0.5000
3 Tm 0.5000 0.0000 0.5000
4 Tm 0.5000 0.5000 0.0000

Properties
energy above the most stable polymorph in this dataset	30.0	meV/atom
V	30.07	Å³ per atom
DOS at the Fermi energy	5.846	states/eV/f.u.
E_form	0.03	eV per atom
size of the total moment	0.00	μB/f.u.



No. 9
A relaxed structure of HoTm3. Source: the Alexandria database, functional PBE.

Lattice parameters (Å, degrees): 7.8870 7.8870 7.8870 90.00 90.00 90.00
Fractional coordinates of all 16 atoms:
1 Ho 0.0000 0.0000 0.0000
2 Ho 0.0000 0.5000 0.5000
3 Ho 0.5000 0.0000 0.5000
4 Ho 0.5000 0.5000 0.0000
5 Tm 0.0000 0.0000 0.5000
6 Tm 0.0000 0.5000 0.0000
7 Tm 0.2500 0.2500 0.2500
8 Tm 0.2500 0.2500 0.7500
9 Tm 0.2500 0.7500 0.2500
10 Tm 0.2500 0.7500 0.7500
11 Tm 0.5000 0.0000 0.0000
12 Tm 0.5000 0.5000 0.5000
13 Tm 0.7500 0.2500 0.2500
14 Tm 0.7500 0.2500 0.7500
15 Tm 0.7500 0.7500 0.2500
16 Tm 0.7500 0.7500 0.7500

Properties
energy above the most stable polymorph in this dataset	144.6	meV/atom
V	30.66	Å³ per atom
DOS at the Fermi energy	10.138	states/eV/f.u.
E_form	0.14	eV per atom
size of the total moment	0.02	μB/f.u.



No. 10
A relaxed structure of Ho2Tm13. Source: the Alexandria database, functional PBE.

Lattice parameters (Å, degrees): 9.2806 9.2806 9.2806 56.41 56.41 56.41
Fractional coordinates of all 15 atoms:
1 Ho 0.2406 0.2406 0.2406
2 Ho 0.7594 0.7594 0.7594
3 Tm 0.0131 0.0131 0.6534
4 Tm 0.0131 0.6534 0.0131
5 Tm 0.2423 0.2423 0.6073
6 Tm 0.2423 0.6073 0.2423
7 Tm 0.3466 0.9869 0.9869
8 Tm 0.3927 0.7577 0.7577
9 Tm 0.5000 0.5000 0.5000
10 Tm 0.6073 0.2423 0.2423
11 Tm 0.6534 0.0131 0.0131
12 Tm 0.7577 0.3927 0.7577
13 Tm 0.7577 0.7577 0.3927
14 Tm 0.9869 0.3466 0.9869
15 Tm 0.9869 0.9869 0.3466

Properties
energy above the most stable polymorph in this dataset	554.6	meV/atom
V	34.55	Å³ per atom
DOS at the Fermi energy	19.106	states/eV/f.u.
E_form	0.61	eV per atom
size of the total moment	0.00	μB/f.u.



No. 11
A relaxed structure of Ho3Tm. Source: the Alexandria database, functional PBE.

Lattice parameters (Å, degrees): 3.5875 11.1331 6.2032 90.00 90.00 90.00
Fractional coordinates of all 8 atoms:
1 Ho 0.0000 0.0000 0.0000
2 Ho 0.0000 0.2494 0.6670
3 Ho 0.0000 0.7506 0.6670
4 Ho 0.5000 0.2506 0.1670
5 Ho 0.5000 0.5000 0.5000
6 Ho 0.5000 0.7494 0.1670
7 Tm 0.0000 0.5000 0.9990
8 Tm 0.5000 0.0000 0.4990

Properties
energy above the most stable polymorph in this dataset	0.9	meV/atom
V	30.97	Å³ per atom
DOS at the Fermi energy	6.613	states/eV/f.u.
E_form	0.00	eV per atom
size of the total moment	0.00	μB/f.u.



No. 12
A relaxed structure of Ho3Tm. Source: the Alexandria database, functional PBE.

Lattice parameters (Å, degrees): 7.9215 7.9215 7.9215 90.00 90.00 90.00
Fractional coordinates of all 16 atoms:
1 Ho 0.0000 0.0000 0.0000
2 Ho 0.0000 0.5000 0.5000
3 Ho 0.2500 0.2500 0.2500
4 Ho 0.2500 0.2500 0.7500
5 Ho 0.2500 0.7500 0.2500
6 Ho 0.2500 0.7500 0.7500
7 Ho 0.5000 0.0000 0.5000
8 Ho 0.5000 0.5000 0.0000
9 Ho 0.7500 0.2500 0.2500
10 Ho 0.7500 0.2500 0.7500
11 Ho 0.7500 0.7500 0.2500
12 Ho 0.7500 0.7500 0.7500
13 Tm 0.0000 0.0000 0.5000
14 Tm 0.0000 0.5000 0.0000
15 Tm 0.5000 0.0000 0.0000
16 Tm 0.5000 0.5000 0.5000

Properties
energy above the most stable polymorph in this dataset	143.2	meV/atom
V	31.07	Å³ per atom
DOS at the Fermi energy	10.464	states/eV/f.u.
E_form	0.14	eV per atom
size of the total moment	0.01	μB/f.u.



Number 8 is which compound?
HoTm3